Crystalline YCrC2 at its relaxed geometry, computed with PBE.

a = 5.7363 Å, b = 5.7363 Å, c = 3.0897 Å
α = 105.57°, β = 105.57°, γ = 31.25°
Last column: nearest neighbours and their distance in Å.
Positions (direct):
1 Y 0.0000 0.0000 0.0000  8 C 2.66-2.67
2 Cr 0.7500 0.7500 0.2483  4 C 1.91
3 C 0.3558 0.3558 0.3530  2 Cr 1.91
4 C 0.6442 0.6442 0.6430  2 Cr 1.91

Summary:
Calculated total energy   -8.35 eV per atom
ΔH_f (0 K)   0.289 eV per atom
N(E_F)   2.8 states/eV per cell
SG   Cm (8)



Crystalline CeNdTe2O at its relaxed geometry, computed with PBE.

a = 4.2443 Å, b = 4.2443 Å, c = 16.0480 Å
α = 90.00°, β = 90.00°, γ = 90.00°
Last column: nearest neighbours and their distance in Å.
Positions (direct):
1 Ce 0.2500 0.2500 0.0694  4 O 2.40
2 Ce 0.7500 0.7500 0.9306  4 O 2.40
3 Nd 0.2500 0.2500 0.6329  5 Te 3.04-3.10
4 Nd 0.7500 0.7500 0.3671  5 Te 3.04-3.10
5 Te 0.2500 0.2500 0.4160  4 Nd 3.10
6 Te 0.2500 0.2500 0.8222  1 Nd 3.04
7 Te 0.7500 0.7500 0.1778  1 Nd 3.04
8 Te 0.7500 0.7500 0.5840  4 Nd 3.10
9 O 0.2500 0.7500 0.0000  4 Ce 2.40
10 O 0.7500 0.2500 0.0000  4 Ce 2.40

Summary:
Calculated total energy   -6.46 eV per atom
Energy relative to the elements, uncorrected   -2.070 eV/atom
N(E_F)   15.2 states/eV per cell
SG   P4/nmm (129)



Crystalline AsN at its relaxed geometry, computed with PBE.

a = 6.0790 Å, b = 6.0790 Å, c = 6.0790 Å
α = 90.00°, β = 90.00°, γ = 90.00°
Last column: nearest neighbours and their distance in Å.
Positions (direct):
1 As 0.0000 0.2500 0.5000  4 N 2.15
2 As 0.0000 0.7500 0.5000  4 N 2.15
3 As 0.2500 0.5000 0.0000  4 N 2.15
4 As 0.5000 0.0000 0.2500  4 N 2.15
5 As 0.5000 0.0000 0.7500  4 N 2.15
6 As 0.7500 0.5000 0.0000  4 N 2.15
7 N 0.0000 0.5000 0.2500  4 As 2.15
8 N 0.0000 0.5000 0.7500  4 As 2.15
9 N 0.2500 0.0000 0.5000  4 As 2.15
10 N 0.5000 0.2500 0.0000  4 As 2.15
11 N 0.5000 0.7500 0.0000  4 As 2.15
12 N 0.7500 0.0000 0.5000  4 As 2.15

Summary:
Calculated total energy   -5.42 eV per atom
Energy relative to the elements, uncorrected   1.071 eV/atom
N(E_F)   0.4 states/eV per cell
ΔE to the lowest computed polymorph   1063 meV per atom
SG   Pm-3n (223)



Crystalline BPS4Br2 at its relaxed geometry, computed with PBE.

a = 7.5230 Å, b = 7.5230 Å, c = 12.1482 Å
α = 111.33°, β = 111.33°, γ = 72.52°
Last column: nearest neighbours and their distance in Å.
Positions (direct):
1 B 0.0000 0.5000 0.0000  2 S 1.69
2 B 0.5000 0.0000 0.5000  2 S 1.69
3 P 0.0000 0.0000 0.0000  2 S 2.08
4 P 0.0000 0.0000 0.5000  2 S 2.08
5 S 0.0354 0.2639 0.9162  1 B 1.69
6 S 0.1512 0.7143 0.4653  1 P 2.08
7 S 0.2639 0.0354 0.4162  1 B 1.69
8 S 0.2857 0.8488 0.0347  1 P 2.08
9 S 0.7143 0.1512 0.9653  1 P 2.08
10 S 0.7361 0.9646 0.5838  1 B 1.69
11 S 0.8488 0.2857 0.5347  1 P 2.08
12 S 0.9646 0.7361 0.0838  1 B 1.69
13 Br 0.0000 0.5000 0.5000  2 S 2.45
14 Br 0.5000 0.0000 0.0000  2 S 2.45
15 Br 0.5000 0.5000 0.0000  2 S 2.61
16 Br 0.5000 0.5000 0.5000  2 S 2.61

Summary:
Calculated total energy   -3.75 eV per atom
Energy relative to the elements, uncorrected   0.244 eV/atom
N(E_F)   1.5 states/eV per cell
SG   C2/c (15)



Crystalline LiTa2Pd at its relaxed geometry, computed with PBE.

a = 4.5151 Å, b = 4.5151 Å, c = 4.5151 Å
α = 60.00°, β = 60.00°, γ = 60.00°
Last column: nearest neighbours and their distance in Å.
Positions (direct):
1 Li 0.0000 0.0000 0.0000  8 Ta 2.76
2 Ta 0.2500 0.2500 0.2500  4 Pd 2.76, 4 Li 2.76
3 Ta 0.7500 0.7500 0.7500  4 Pd 2.76, 4 Li 2.76
4 Pd 0.5000 0.5000 0.5000  8 Ta 2.76

Summary:
Calculated total energy   -7.37 eV per atom
ΔH_f (0 K)   0.335 eV per atom
N(E_F)   6.5 states/eV per cell
ΔE to the lowest computed polymorph   0 meV per atom
SG   Fm-3m (225)



Crystalline CeDy4Y3 at its relaxed geometry, computed with PBE.

a = 8.7635 Å, b = 8.7635 Å, c = 3.3522 Å
α = 90.00°, β = 90.00°, γ = 96.72°
Last column: nearest neighbours and their distance in Å.
Positions (direct):
1 Ce 0.0000 0.0000 0.0000  6 Dy 3.10-3.16, 2 Ce 3.35
2 Dy 0.2296 0.2296 0.5000  2 Ce 3.16, 2 Y 3.28, 2 Dy 3.35
3 Dy 0.2364 0.7636 0.0000  1 Ce 3.10, 2 Dy 3.35, 5 Y 3.36-3.45
4 Dy 0.7636 0.2364 0.0000  1 Ce 3.10, 2 Dy 3.35, 5 Y 3.36-3.45
5 Dy 0.7704 0.7704 0.5000  2 Ce 3.16, 2 Y 3.28, 2 Dy 3.35
6 Y 0.0000 0.5000 0.5000  6 Dy 3.28-3.36, 2 Y 3.35
7 Y 0.5000 0.0000 0.5000  6 Dy 3.28-3.36, 2 Y 3.35
8 Y 0.5000 0.5000 0.0000  2 Y 3.35, 6 Dy 3.45-3.57

Summary:
Calculated total energy   -5.04 eV per atom
ΔH_f (0 K)   0.423 eV per atom
N(E_F)   18.0 states/eV per cell
ΔE to the lowest computed polymorph   227 meV per atom
SG   Cmmm (65)



Crystalline BeTcSe2 at its relaxed geometry, computed with PBE.

a = 3.0689 Å, b = 3.0689 Å, c = 7.6346 Å
α = 90.00°, β = 90.00°, γ = 90.00°
Last column: nearest neighbours and their distance in Å.
Positions (direct):
1 Be 0.0000 0.0000 0.0000  5 Se 2.49-2.73, 4 Tc 2.54
2 Tc 0.5000 0.5000 0.8269  5 Se 2.54-2.59, 4 Be 2.54
3 Se 0.0000 0.0000 0.6418  4 Tc 2.59, 1 Be 2.73
4 Se 0.5000 0.5000 0.1591  4 Be 2.49, 1 Tc 2.54

Summary:
Calculated total energy   -5.42 eV per atom
Energy relative to the elements, uncorrected   -0.152 eV/atom
N(E_F)   0.8 states/eV per cell
SG   P4mm (99)



Crystalline FeHg2B at its relaxed geometry, computed with PBE.

a = 6.7444 Å, b = 6.7444 Å, c = 6.7444 Å
α = 95.28°, β = 95.28°, γ = 144.67°
Last column: nearest neighbours and their distance in Å.
Positions (direct):
1 Fe 0.3750 0.6250 0.7500  2 B 2.05
2 Fe 0.6250 0.3750 0.2500  2 B 2.05
3 Hg 0.0000 0.0000 0.0000  2 B 2.33
4 Hg 0.0000 0.0000 0.5000  2 B 2.33
5 Hg 0.0000 0.5000 0.0000  2 B 2.33
6 Hg 0.5000 0.0000 0.5000  2 B 2.33
7 B 0.1250 0.8750 0.2500  2 Fe 2.05
8 B 0.8750 0.1250 0.7500  2 Fe 2.05

Summary:
Calculated total energy   -3.25 eV per atom
ΔH_f (0 K)   0.685 eV per atom
N(E_F)   6.5 states/eV per cell
ΔE to the lowest computed polymorph   0 meV per atom
SG   I4_1/amd (141)



- The lowest N(E_F) belongs to which entry?
  AsN



- Number 1 is which compound?
  YCrC2